Entry from the Alexandria database: a crystal of AgWS2N relaxed with PBEsol (SCAN).

Computed properties:
Spin magnetization ... 0.00 μB/cell
N(E_F) ... 2.85 states/eV per cell

Unit cell a=4.7602 b=4.7602 c=3.7896 alpha=90.00 beta=90.00 gamma=90.00
Element x y z (fractional)
Ag: 0.0000 0.0000 0.0000
W: 0.5000 0.5000 0.5000
S: 0.0000 0.5000 0.5000
S: 0.5000 0.0000 0.5000
N: 0.5000 0.5000 0.0000



Entry from the Alexandria database: a crystal of ScAgN3 relaxed with PBEsol (SCAN).

Computed properties:
Spin magnetization ... 0.00 μB/cell
N(E_F) ... 3.65 states/eV per cell

Unit cell a=4.1020 b=4.1020 c=4.1020 alpha=90.00 beta=90.00 gamma=90.00
Element x y z (fractional)
Sc: 0.0000 0.0000 0.0000
Ag: 0.5000 0.5000 0.5000
N: 0.0000 0.0000 0.5000
N: 0.0000 0.5000 0.0000
N: 0.5000 0.0000 0.0000



Entry from the Alexandria database: a crystal of ScAgTeN2 relaxed with PBEsol (SCAN).

Computed properties:
Spin magnetization ... 2.14 μB/cell
N(E_F) ... 2.73 states/eV per cell

Unit cell a=4.1146 b=4.1146 c=5.3121 alpha=90.00 beta=90.00 gamma=90.00
Element x y z (fractional)
Sc: 0.0000 0.0000 0.0000
Ag: 0.5000 0.5000 0.5000
Te: 0.5000 0.5000 0.0000
N: 0.0000 0.5000 0.5000
N: 0.5000 0.0000 0.5000



Entry from the Alexandria database: a crystal of AgSeN2 relaxed with PBEsol (SCAN).

Computed properties:
Spin magnetization ... 0.00 μB/cell
N(E_F) ... 1.53 states/eV per cell

Unit cell a=6.5100 b=6.5100 c=6.5100 alpha=27.12 beta=27.12 gamma=27.12
Element x y z (fractional)
Ag: 0.0000 0.0000 0.0000
Se: 0.5000 0.5000 0.5000
N: 0.1093 0.1093 0.1093
N: 0.8907 0.8907 0.8907



Entry from the Alexandria database: a crystal of SiAgSe2N relaxed with PBEsol (SCAN).

Computed properties:
Spin magnetization ... 1.92 μB/cell
N(E_F) ... 2.30 states/eV per cell

Unit cell a=5.0778 b=5.0778 c=3.8613 alpha=90.00 beta=90.00 gamma=90.00
Element x y z (fractional)
Si: 0.0000 0.0000 0.0000
Ag: 0.5000 0.5000 0.5000
Se: 0.0000 0.5000 0.5000
Se: 0.5000 0.0000 0.5000
N: 0.5000 0.5000 0.0000



Entry from the Alexandria database: a crystal of ZrAgSe2N relaxed with PBEsol (SCAN).

Computed properties:
Spin magnetization ... 1.82 μB/cell
N(E_F) ... 1.93 states/eV per cell

Unit cell a=5.2328 b=5.2328 c=4.0671 alpha=90.00 beta=90.00 gamma=90.00
Element x y z (fractional)
Zr: 0.0000 0.0000 0.0000
Ag: 0.5000 0.5000 0.5000
Se: 0.0000 0.5000 0.0000
Se: 0.5000 0.0000 0.0000
N: 0.0000 0.0000 0.5000



Entry from the Alexandria database: a crystal of SiAg2N relaxed with PBEsol (SCAN).

Computed properties:
Spin magnetization ... 0.00 μB/cell
N(E_F) ... 1.02 states/eV per cell

Unit cell a=4.2584 b=4.2584 c=4.2584 alpha=60.00 beta=60.00 gamma=60.00
Element x y z (fractional)
Si: 0.0000 0.0000 0.0000
Ag: 0.2500 0.2500 0.2500
Ag: 0.7500 0.7500 0.7500
N: 0.5000 0.5000 0.5000



Entry from the Alexandria database: a crystal of SiAgN2 relaxed with PBEsol (SCAN).

Computed properties:
Spin magnetization ... 0.00 μB/cell
N(E_F) ... 1.72 states/eV per cell

Unit cell a=5.8666 b=5.8666 c=5.8666 alpha=33.03 beta=33.03 gamma=33.03
Element x y z (fractional)
Si: 0.0000 0.0000 0.0000
Ag: 0.5000 0.5000 0.5000
N: 0.1000 0.1000 0.1000
N: 0.9000 0.9000 0.9000



Number 1: formation energy (no corrections) 0.7 eV per formula unit, total energy -25.7710 eV per atom. Number 2: formation energy (no corrections) 6.4 eV per formula unit, total energy -13.4078 eV per atom. Number 3: formation energy (no corrections) 5.7 eV per formula unit, total energy -19.1438 eV per atom. Number 4: formation energy (no corrections) 4.4 eV per formula unit, total energy -16.3990 eV per atom. Number 5: formation energy (no corrections) 6.2 eV per formula unit, total energy -16.9187 eV per atom. Number 6: formation energy (no corrections) -0.6 eV per formula unit, total energy -22.4197 eV per atom. Number 7: formation energy (no corrections) 4.3 eV per formula unit, total energy -19.4357 eV per atom. Number 8: formation energy (no corrections) 3.5 eV per formula unit, total energy -14.1079 eV per atom.